(1)
A plane-wave DFT calculation with PBE-GGA was carried out for an optimized crystal structure of SnBrN2.

As for the total magnetization: 0.000 μB/atom. The calculation puts the calculated volume at 144.2 Å³/cell. The value obtained for the energy relative to the elements, uncorrected is 1.2576 eV/atom. The energy above the most stable polymorph in this dataset comes out at 2.12 eV/f.u.

a = 5.686 Å, b = 5.686 Å, c = 6.005 Å
α = 61.74°, β = 61.74°, γ = 90.00°
Sites, in units of the cell vectors:
N: 0.686 0.125 0.250
Sn: 0.000 0.000 0.000
Sn: 0.750 0.250 0.500
Br: 0.500 0.500 0.000
N: 0.875 0.936 0.750
N: 0.064 0.625 0.250
N: 0.375 0.314 0.750
Br: 0.250 0.750 0.500



(2)
A plane-wave DFT calculation with PBE-GGA was carried out for an optimized crystal structure of AlIn3Ga.

As for the total magnetization: 0.000 μB/atom. The calculation puts the calculated volume at 152.4 Å³/cell. The value obtained for the energy relative to the elements is 2.009 eV per formula unit. The energy above the most stable polymorph in this dataset comes out at 0.00 eV/f.u.

a = 5.342 Å, b = 5.342 Å, c = 5.342 Å
α = 90.00°, β = 90.00°, γ = 90.00°
Sites, in units of the cell vectors:
In: 0.500 0.000 0.000
Al: 0.000 0.000 0.000
In: 0.000 0.000 0.500
Ga: 0.500 0.500 0.500
In: 0.000 0.500 0.000



(3)
A plane-wave DFT calculation with PBE-GGA was carried out for an optimized crystal structure of Sr2InGa4Pd3.

As for the total magnetization: 0.000 μB/atom. The calculation puts the calculated volume at 213.7 Å³/cell. The value obtained for the energy relative to the elements is -6.268 eV per formula unit.

a = 4.390 Å, b = 4.390 Å, c = 11.090 Å
α = 90.00°, β = 90.00°, γ = 90.00°
Sites, in units of the cell vectors:
Pd: 0.000 0.500 0.123
Ga: 0.500 0.000 0.646
Sr: 0.500 0.000 0.243
Ga: 0.500 0.500 0.000
Sr: 0.000 0.500 0.757
Pd: 0.500 0.000 0.877
Ga: 0.000 0.500 0.354
In: 0.500 0.500 0.500
Ga: 0.000 0.000 0.000
Pd: 0.000 0.000 0.500